Entry 1:
VASP calculation (GGA-PBE) on a geometry-optimized Li2NpO4 structure.

```
Li2NpO4
1.0
-3.045 3.470 4.110
3.045 -3.470 4.110
3.045 3.470 -4.110
Li Np O
4 2 8
direct
0.000 0.000 0.500 Li
0.000 0.500 0.000 Li
0.381 0.131 0.250 Li
0.619 0.869 0.750 Li
0.000 0.500 0.500 Np
0.500 0.500 0.000 Np
0.217 0.732 0.485 O
0.251 0.283 0.532 O
0.251 0.719 0.968 O
0.253 0.268 0.985 O
0.747 0.732 0.015 O
0.749 0.281 0.032 O
0.749 0.717 0.468 O
0.783 0.268 0.515 O
```

Computed properties:
V: 12.41 Å³ per atom
Calculated density: 6.0 g/cm³
Symmetry: Imma (74)
Raw formation energy: -2.521 eV per atom
Relative energy among the computed polymorphs: 1.7 kJ per mole of atoms
Raw total energy: -7.75 eV per atom

=====

Entry 2:
VASP calculation (GGA-PBE) on a geometry-optimized Zr3CdN structure.

```
Zr3CdN
1.0
3.587 0.000 0.000
-1.793 3.106 0.000
0.000 0.000 18.887
Zr Cd N
6 2 2
direct
0.000 0.000 0.250 Zr
0.000 0.000 0.750 Zr
0.333 0.667 0.122 Zr
0.333 0.667 0.378 Zr
0.667 0.333 0.622 Zr
0.667 0.333 0.878 Zr
0.000 0.000 0.000 Cd
0.000 0.000 0.500 Cd
0.333 0.667 0.250 N
0.667 0.333 0.750 N
```

Computed properties:
V: 21.05 Å³ per atom
Calculated density: 6.3 g/cm³
Symmetry: P6_3/mmc (194)
Raw formation energy: -0.408 eV per atom
Raw total energy: -7.38 eV per atom

=====

Entry 3:
VASP calculation (GGA-PBE) on a geometry-optimized Cr2NiTe structure.

```
Cr2NiTe
1.0
1.503 0.868 7.703
-1.503 0.868 7.703
0.000 -1.736 7.703
Cr Ni Te
2 1 1
direct
0.000 0.000 0.000 Cr
0.267 0.267 0.267 Cr
0.521 0.521 0.521 Ni
0.762 0.762 0.762 Te
```

Computed properties:
V: 15.08 Å³ per atom
Calculated density: 8.0 g/cm³
Symmetry: R3m (160)
Raw formation energy: 0.533 eV per atom
Raw total energy: -6.51 eV per atom

=====

Entry 4:
VASP calculation (GGA-PBE) on a geometry-optimized MgCu2Si structure.

```
MgCu2Si
1.0
4.247 -1.369 0.000
4.247 1.369 0.000
-0.816 0.000 4.822
Mg Cu Si
1 2 1
direct
0.000 0.000 0.000 Mg
0.242 0.242 0.730 Cu
0.758 0.758 0.270 Cu
0.500 0.500 0.500 Si
```

Computed properties:
V: 14.02 Å³ per atom
Calculated density: 5.3 g/cm³
Symmetry: C2/m (12)
Raw formation energy: 0.015 eV per atom
Raw total energy: -3.79 eV per atom

=====

Entry 5:
VASP calculation (GGA-PBE) on a geometry-optimized Cs9K4Ag structure.

```
Cs9K4Ag
1.0
14.292 0.000 0.000
-7.146 12.377 0.000
0.000 0.000 14.348
Cs K Ag
18 8 2
direct
0.077 0.538 0.250 Cs
0.211 0.422 0.567 Cs
0.211 0.422 0.933 Cs
0.211 0.789 0.567 Cs
0.211 0.789 0.933 Cs
0.422 0.211 0.067 Cs
0.422 0.211 0.433 Cs
0.462 0.538 0.250 Cs
0.462 0.923 0.250 Cs
0.538 0.077 0.750 Cs
0.538 0.462 0.750 Cs
0.578 0.789 0.567 Cs
0.578 0.789 0.933 Cs
0.789 0.211 0.067 Cs
0.789 0.211 0.433 Cs
0.789 0.578 0.067 Cs
0.789 0.578 0.433 Cs
0.923 0.462 0.750 Cs
0.000 0.000 0.000 K
0.000 0.000 0.500 K
0.109 0.217 0.250 K
0.109 0.891 0.250 K
0.217 0.109 0.750 K
0.783 0.891 0.250 K
0.891 0.109 0.750 K
0.891 0.783 0.750 K
0.333 0.667 0.750 Ag
0.667 0.333 0.250 Ag
```

Computed properties:
V: 90.64 Å³ per atom
Calculated density: 1.9 g/cm³
Symmetry: P6_3/mmc (194)
Raw total energy: -1.06 eV per atom
ΔE_f: 0.1 eV/f.u.

=====

Entry 6:
VASP calculation (GGA-PBE) on a geometry-optimized Ba4Sr5Ir structure.

```
Ba4Sr5Ir
1.0
-6.584 6.584 3.057
6.584 -6.584 3.057
6.584 6.584 -3.057
Ba Sr Ir
4 5 1
direct
0.000 0.329 0.329 Ba
0.000 0.671 0.671 Ba
0.329 0.000 0.329 Ba
0.671 0.000 0.671 Ba
0.000 0.000 0.000 Sr
0.343 0.343 0.685 Sr
0.343 0.657 0.000 Sr
0.657 0.343 0.000 Sr
0.657 0.657 0.315 Sr
0.500 0.500 0.000 Ir
```

Computed properties:
V: 53.01 Å³ per atom
Calculated density: 3.7 g/cm³
Symmetry: I4/mmm (139)
Raw total energy: -2.58 eV per atom
ΔE_f: -0.8 eV/f.u.

=====

Entry 7:
VASP calculation (GGA-PBE) on a geometry-optimized BaCu3Ni structure.

```
BaCu3Ni
1.0
5.446 0.000 0.000
0.000 5.446 0.000
0.000 0.000 5.446
Ba Cu Ni
1 3 1
direct
0.000 0.000 0.000 Ba
0.000 0.000 0.500 Cu
0.000 0.500 0.000 Cu
0.500 0.000 0.000 Cu
0.500 0.500 0.500 Ni
```

Computed properties:
V: 32.31 Å³ per atom
Calculated density: 4.0 g/cm³
Symmetry: Pm-3m (221)
Relative energy among the computed polymorphs: 164.6 kJ per mole of atoms
Raw total energy: -2.06 eV per atom
ΔE_f: 9.7 eV/f.u.

=====

Entry 8:
VASP calculation (GGA-PBE) on a geometry-optimized MgMn5Pt6 structure.

```
MgMn5Pt6
1.0
2.093 -6.262 0.000
2.093 6.262 0.000
0.000 0.000 6.973
Mg Mn Pt
1 5 6
direct
0.000 0.000 0.000 Mg
0.000 0.000 0.500 Mn
0.333 0.667 0.500 Mn
0.334 0.666 0.000 Mn
0.666 0.334 0.000 Mn
0.667 0.333 0.500 Mn
0.168 0.832 0.251 Pt
0.168 0.832 0.749 Pt
0.500 0.500 0.255 Pt
0.500 0.500 0.745 Pt
0.832 0.168 0.251 Pt
0.832 0.168 0.749 Pt
```

Computed properties:
V: 15.23 Å³ per atom
Calculated density: 13.3 g/cm³
Symmetry: Cmmm (65)
Raw total energy: -7.43 eV per atom
ΔE_f: -5.4 eV/f.u.

=====

Entry 9:
VASP calculation (GGA-PBE) on a geometry-optimized Na2AuF7 structure.

```
Na2AuF7
1.0
6.393 -3.235 0.000
6.393 3.235 0.000
-5.654 0.000 6.954
Na Au F
4 2 14
direct
0.115 0.286 0.305 Na
0.286 0.115 0.805 Na
0.714 0.885 0.195 Na
0.885 0.714 0.695 Na
0.342 0.658 0.250 Au
0.658 0.342 0.750 Au
0.031 0.969 0.250 F
0.138 0.524 0.211 F
0.226 0.519 0.618 F
0.242 0.582 0.975 F
0.418 0.758 0.525 F
0.476 0.862 0.289 F
0.481 0.774 0.882 F
0.519 0.226 0.118 F
0.524 0.138 0.711 F
0.582 0.242 0.475 F
0.758 0.418 0.025 F
0.774 0.481 0.382 F
0.862 0.476 0.789 F
0.969 0.031 0.750 F
```

Computed properties:
V: 14.38 Å³ per atom
Calculated density: 4.3 g/cm³
Symmetry: C2/c (15)
Raw formation energy: -1.539 eV per atom
Raw total energy: -3.44 eV per atom

=====

Entry 10:
VASP calculation (GGA-PBE) on a geometry-optimized NaLaTcO6 structure.

```
NaLaTcO6
1.0
4.418 0.000 0.000
-0.144 5.330 0.000
-0.762 -2.602 5.177
Na La Tc O
1 1 1 6
direct
0.000 0.000 0.000 Na
0.491 0.655 0.327 La
0.873 0.302 0.610 Tc
0.017 0.959 0.387 O
0.173 0.440 0.877 O
0.500 0.124 0.262 O
0.633 0.103 0.714 O
0.642 0.601 0.716 O
0.983 0.439 0.368 O
```

Computed properties:
V: 13.54 Å³ per atom
Calculated density: 4.8 g/cm³
Symmetry: P1 (1)
Raw formation energy: -1.799 eV per atom
Raw total energy: -6.95 eV per atom

=====

Entry 11:
VASP calculation (GGA-PBE) on a geometry-optimized Ca2Sn4Ir3Pd structure.

```
Ca2Sn4Ir3Pd
1.0
4.487 0.000 0.000
0.000 4.487 0.000
0.000 0.000 11.022
Ca Sn Ir Pd
2 4 3 1
direct
0.000 0.500 0.248 Ca
0.500 0.000 0.752 Ca
0.000 0.000 0.500 Sn
0.000 0.500 0.869 Sn
0.500 0.000 0.131 Sn
0.500 0.500 0.500 Sn
0.000 0.000 0.000 Ir
0.000 0.500 0.633 Ir
0.500 0.000 0.367 Ir
0.500 0.500 0.000 Pd
```

Computed properties:
V: 22.19 Å³ per atom
Calculated density: 9.3 g/cm³
Symmetry: P-4m2 (115)
Raw total energy: -5.67 eV per atom
ΔE_f: -5.0 eV/f.u.

=====

Entry 12:
VASP calculation (GGA-PBE) on a geometry-optimized AcLa12Tb7 structure.

```
AcLa12Tb7
1.0
6.275 3.623 5.214
-6.275 3.623 5.214
0.000 -7.246 5.214
Ac La Tb
1 12 7
direct
0.000 0.000 0.000 Ac
0.141 0.728 0.285 La
0.143 0.486 0.623 La
0.272 0.715 0.859 La
0.285 0.141 0.728 La
0.377 0.857 0.514 La
0.486 0.623 0.143 La
0.514 0.377 0.857 La
0.623 0.143 0.486 La
0.715 0.859 0.272 La
0.728 0.285 0.141 La
0.857 0.514 0.377 La
0.859 0.272 0.715 La
0.064 0.149 0.383 Tb
0.149 0.383 0.064 Tb
0.383 0.064 0.149 Tb
0.500 0.500 0.500 Tb
0.617 0.936 0.851 Tb
0.851 0.617 0.936 Tb
0.936 0.851 0.617 Tb
```

Computed properties:
V: 35.56 Å³ per atom
Calculated density: 7.0 g/cm³
Symmetry: R-3 (148)
Relative energy among the computed polymorphs: 0.0 kJ per mole of atoms
Raw total energy: -4.60 eV per atom
ΔE_f: 3.7 eV/f.u.

=====

Question: Among the records above, which one has the highest raw total energy?
Answer: Cs9K4Ag

=====

Repeat the first record exactly.
VASP calculation (GGA-PBE) on a geometry-optimized Li2NpO4 structure.

```
Li2NpO4
1.0
-3.045 3.470 4.110
3.045 -3.470 4.110
3.045 3.470 -4.110
Li Np O
4 2 8
direct
0.000 0.000 0.500 Li
0.000 0.500 0.000 Li
0.381 0.131 0.250 Li
0.619 0.869 0.750 Li
0.000 0.500 0.500 Np
0.500 0.500 0.000 Np
0.217 0.732 0.485 O
0.251 0.283 0.532 O
0.251 0.719 0.968 O
0.253 0.268 0.985 O
0.747 0.732 0.015 O
0.749 0.281 0.032 O
0.749 0.717 0.468 O
0.783 0.268 0.515 O
```

Computed properties:
V: 12.41 Å³ per atom
Calculated density: 6.0 g/cm³
Symmetry: Imma (74)
Raw formation energy: -2.521 eV per atom
Relative energy among the computed polymorphs: 1.7 kJ per mole of atoms
Raw total energy: -7.75 eV per atom

=====

Question: Look up the V of the first one.
Answer: 12.41 Å³ per atom

=====

Question: The lowest V belongs to which entry?
Answer: Li2NpO4